Ac4InN after structural relaxation. Source: Alexandria via LeMat-Bulk, functional PBE-GGA.

* E: -5.04 eV per atom
* volume: 37.41 Å³/atom
* calculated density: 7.7 g/cm³
* formation energy (no corrections): -0.460 eV/atom
* M_tot: 0.0 μB per cell

abc: 10.199 7.604 5.788
angles: 90.00 90.00 90.00
Space group Pmn2_1 (No. 31)
Symmetry-distinct sites (fractional):
Ac 0.000 0.085 0.000 [2 per cell]
Ac 0.000 0.787 0.507 [2 per cell]
Ac 0.195 0.283 0.508 [4 per cell]
In 0.000 0.514 0.012 [2 per cell]
N 0.000 0.105 0.554 [2 per cell]